Li5Mg2Hg5 after structural relaxation. Source: the Alexandria database, functional GGA-PBE.

Cell: 8.280 4.743 12.917 Å, 90.00 102.98 90.00°
Space group C2/m (No. 12)
Inequivalent atoms, fractional coordinates:
Li (0.000, 0.000, 0.000) x2
Li (0.192, 0.000, 0.575) x4
Li (0.218, 0.500, 0.169) x4
Mg (0.079, 0.500, 0.722) x4
Hg (0.000, 0.500, 0.500) x2
Hg (0.107, 0.000, 0.328) x4
Hg (0.147, 0.500, 0.941) x4

Summary:
DOS(E_F) = 10.47 states/eV/cell
Calculated volume = 247.1 Å³/f.u.
Energy of formation from the pure elements = -257 meV per atom
Total energy = -17.351 eV per formula unit